Run P
# CuMoPt2

A geometry-optimized CuMoPt2 structure (PBE, Alexandria).

Output
* D(E_F): 18.4 states/eV per cell
* magnetic moment: 0.0 μB per cell

Geometry as CIF:
```
data_CuMoPt2
_cell_length_a 6.237
_cell_length_b 6.237
_cell_length_c 6.237
_cell_angle_alpha 90.00
_cell_angle_beta 90.00
_cell_angle_gamma 90.00
_symmetry_space_group_name_H-M 'F m -3 m'
_symmetry_Int_Tables_number 225
_symmetry_space_group_name_Hall '-F 4 2 3'
loop_
_atom_site_label
_atom_site_fract_x
_atom_site_fract_y
_atom_site_fract_z
Cu1 0.000 0.000 0.000
Mo1 0.000 0.000 0.500
Pt1 0.250 0.250 0.250
```

Run Q
# CuMoPt2

A geometry-optimized CuMoPt2 structure (PBE, Alexandria).

Output
* D(E_F): 6.8 states/eV per cell
* magnetic moment: 0.0 μB per cell

Geometry as CIF:
```
data_CuMoPt2
_cell_length_a 5.574
_cell_length_b 7.791
_cell_length_c 2.740
_cell_angle_alpha 90.00
_cell_angle_beta 90.00
_cell_angle_gamma 90.00
_symmetry_space_group_name_H-M 'C m m m'
_symmetry_Int_Tables_number 65
_symmetry_space_group_name_Hall '-C 2 2'
loop_
_atom_site_label
_atom_site_fract_x
_atom_site_fract_y
_atom_site_fract_z
Cu1 0.000 0.000 0.000
Mo1 0.000 0.500 0.000
Pt1 0.250 0.250 0.500
```

Most stable structure: run Q

Run P
# CuMoPt2

A geometry-optimized CuMoPt2 structure (PBE, Alexandria).

Output
* D(E_F): 5.3 states/eV per cell
* magnetic moment: 0.0 μB per cell

Geometry as CIF:
```
data_CuMoPt2
_cell_length_a 3.895
_cell_length_b 3.895
_cell_length_c 3.923
_cell_angle_alpha 90.00
_cell_angle_beta 90.00
_cell_angle_gamma 90.00
_symmetry_space_group_name_H-M 'P 4/m m m'
_symmetry_Int_Tables_number 123
_symmetry_space_group_name_Hall '-P 4 2'
loop_
_atom_site_label
_atom_site_fract_x
_atom_site_fract_y
_atom_site_fract_z
Cu1 0.000 0.000 0.000
Mo1 0.500 0.500 0.000
Pt1 0.000 0.500 0.500
```

Run Q
# CuMoPt2

A geometry-optimized CuMoPt2 structure (PBE, Alexandria).

Output
* D(E_F): 3.8 states/eV per cell
* magnetic moment: 0.0 μB per cell

Geometry as CIF:
```
data_CuMoPt2
_cell_length_a 2.780
_cell_length_b 3.988
_cell_length_c 5.375
_cell_angle_alpha 90.00
_cell_angle_beta 90.00
_cell_angle_gamma 90.00
_symmetry_space_group_name_H-M 'P m m 2'
_symmetry_Int_Tables_number 25
loop_
_symmetry_equiv_pos_as_xyz
'x,y,z'
'-x,-y,z'
'-x,y,z'
'x,-y,z'
loop_
_atom_site_label
_atom_site_fract_x
_atom_site_fract_y
_atom_site_fract_z
Cu1 0.000 0.000 0.000
Mo1 0.500 0.500 0.265
Pt1 0.000 0.000 0.488
Pt2 0.500 0.500 0.782
```

Most stable structure: run Q

Run P
# CuMoPt2

A geometry-optimized CuMoPt2 structure (PBE, Alexandria).

Output
* D(E_F): 2.6 states/eV per cell
* magnetic moment: 0.0 μB per cell

Geometry as CIF:
```
data_CuMoPt2
_cell_length_a 2.747
_cell_length_b 2.747
_cell_length_c 7.823
_cell_angle_alpha 90.00
_cell_angle_beta 90.00
_cell_angle_gamma 90.00
_symmetry_space_group_name_H-M 'P 4 m m'
_symmetry_Int_Tables_number 99
loop_
_symmetry_equiv_pos_as_xyz
'x,y,z'
'-y,x,z'
'-x,-y,z'
'y,-x,z'
'-x,y,z'
'y,x,z'
'x,-y,z'
'-y,-x,z'
loop_
_atom_site_label
_atom_site_fract_x
_atom_site_fract_y
_atom_site_fract_z
Cu1 0.000 0.000 0.000
Mo1 0.500 0.500 0.244
Pt1 0.000 0.000 0.495
Pt2 0.500 0.500 0.768
```

Run Q
# CuMoPt2

A geometry-optimized CuMoPt2 structure (PBE, Alexandria).

Output
* D(E_F): 21.0 states/eV per cell
* magnetic moment: 0.0 μB per cell

Geometry as CIF:
```
data_CuMoPt2
_cell_length_a 6.946
_cell_length_b 6.946
_cell_length_c 5.416
_cell_angle_alpha 90.00
_cell_angle_beta 90.00
_cell_angle_gamma 90.00
_symmetry_space_group_name_H-M 'I -4 2 d'
_symmetry_Int_Tables_number 122
_symmetry_space_group_name_Hall 'I -4 2bw'
loop_
_atom_site_label
_atom_site_fract_x
_atom_site_fract_y
_atom_site_fract_z
Cu1 0.000 0.000 0.000
Mo1 0.000 0.000 0.500
Pt1 0.248 0.750 0.125
```

Most stable structure: run P

Run P
# CuMoPt2

A geometry-optimized CuMoPt2 structure (PBE, Alexandria).

Output
* D(E_F): 6.2 states/eV per cell
* magnetic moment: 0.0 μB per cell

Geometry as CIF:
```
data_CuMoPt2
_cell_length_a 9.142
_cell_length_b 2.758
_cell_length_c 4.778
_cell_angle_alpha 90.00
_cell_angle_beta 99.02
_cell_angle_gamma 90.00
_symmetry_space_group_name_H-M 'C 1 m 1'
_symmetry_Int_Tables_number 8
loop_
_symmetry_equiv_pos_as_xyz
'x,y,z'
'x,-y,z'
'x+1/2,y+1/2,z'
'x+1/2,-y+1/2,z'
loop_
_atom_site_label
_atom_site_fract_x
_atom_site_fract_y
_atom_site_fract_z
Cu1 0.000 0.000 0.000
Mo1 0.247 0.000 0.724
Pt1 0.001 0.500 0.514
Pt2 0.249 0.500 0.214
```

Run Q
# CuMoPt2

A geometry-optimized CuMoPt2 structure (PBE, Alexandria).

Output
* D(E_F): 10.2 states/eV per cell
* magnetic moment: 0.0 μB per cell

Geometry as CIF:
```
data_CuMoPt2
_cell_length_a 2.7800
_cell_length_b 2.7800
_cell_length_c 26.6182
_cell_angle_alpha 90.00
_cell_angle_beta 90.00
_cell_angle_gamma 120.00
_symmetry_space_group_name_H-M 'R -3 m'
_symmetry_Int_Tables_number 166
_symmetry_space_group_name_Hall '-R 3 2"'
loop_
_atom_site_label
_atom_site_fract_x
_atom_site_fract_y
_atom_site_fract_z
Cu1 0.0000 0.0000 0.0000
Mo1 0.0000 0.0000 0.5000
Pt1 0.0000 0.0000 0.2518
```

Run R
# CuMoPt2

A geometry-optimized CuMoPt2 structure (PBE, Alexandria).

Output
* D(E_F): 2.9 states/eV per cell
* magnetic moment: 0.0 μB per cell

Geometry as CIF:
```
data_CuMoPt2
_cell_length_a 2.774
_cell_length_b 3.897
_cell_length_c 5.458
_cell_angle_alpha 90.00
_cell_angle_beta 90.00
_cell_angle_gamma 90.00
_symmetry_space_group_name_H-M 'P m m m'
_symmetry_Int_Tables_number 47
loop_
_symmetry_equiv_pos_as_xyz
'x,y,z'
'-x,-y,-z'
'-x,-y,z'
'x,y,-z'
'x,-y,-z'
'-x,y,z'
'-x,y,-z'
'x,-y,z'
loop_
_atom_site_label
_atom_site_fract_x
_atom_site_fract_y
_atom_site_fract_z
Cu1 0.000 0.000 0.000
Mo1 0.000 0.000 0.500
Pt1 0.500 0.500 0.250
```

Most stable structure: run R

Run P
# CuMoPt2

A geometry-optimized CuMoPt2 structure (PBE, Alexandria).

Output
* D(E_F): 6.5 states/eV per cell
* magnetic moment: 0.0 μB per cell

Geometry as CIF:
```
data_CuMoPt2
_cell_length_a 3.862
_cell_length_b 3.862
_cell_length_c 7.890
_cell_angle_alpha 90.00
_cell_angle_beta 90.00
_cell_angle_gamma 90.00
_symmetry_space_group_name_H-M 'I 4/m m m'
_symmetry_Int_Tables_number 139
_symmetry_space_group_name_Hall '-I 4 2'
loop_
_atom_site_label
_atom_site_fract_x
_atom_site_fract_y
_atom_site_fract_z
Cu1 0.000 0.000 0.000
Mo1 0.000 0.000 0.500
Pt1 0.000 0.500 0.250
```

Run Q
# CuMoPt2

A geometry-optimized CuMoPt2 structure (PBE, Alexandria).

Output
* D(E_F): 3.2 states/eV per cell
* magnetic moment: 0.0 μB per cell

Geometry as CIF:
```
data_CuMoPt2
_cell_length_a 2.791
_cell_length_b 2.791
_cell_length_c 7.556
_cell_angle_alpha 90.00
_cell_angle_beta 90.00
_cell_angle_gamma 90.00
_symmetry_space_group_name_H-M 'P 4/m m m'
_symmetry_Int_Tables_number 123
_symmetry_space_group_name_Hall '-P 4 2'
loop_
_atom_site_label
_atom_site_fract_x
_atom_site_fract_y
_atom_site_fract_z
Cu1 0.000 0.000 0.000
Mo1 0.000 0.000 0.500
Pt1 0.500 0.500 0.244
```

Most stable structure: run Q

Run P
# CuMoPt2

A geometry-optimized CuMoPt2 structure (PBE, Alexandria).

Output
* D(E_F): 7.7 states/eV per cell
* magnetic moment: 0.0 μB per cell

Geometry as CIF:
```
data_CuMoPt2
_cell_length_a 3.847
_cell_length_b 3.847
_cell_length_c 7.993
_cell_angle_alpha 90.00
_cell_angle_beta 90.00
_cell_angle_gamma 90.00
_symmetry_space_group_name_H-M 'I -4 m 2'
_symmetry_Int_Tables_number 119
_symmetry_space_group_name_Hall 'I -4 -2'
loop_
_atom_site_label
_atom_site_fract_x
_atom_site_fract_y
_atom_site_fract_z
Cu1 0.000 0.000 0.000
Mo1 0.000 0.500 0.750
Pt1 0.000 0.000 0.500
Pt2 0.000 0.500 0.250
```

Run Q
# CuMoPt2

A geometry-optimized CuMoPt2 structure (PBE, Alexandria).

Output
* D(E_F): 9.0 states/eV per cell
* magnetic moment: 0.0 μB per cell

Geometry as CIF:
```
data_CuMoPt2
_cell_length_a 2.8213
_cell_length_b 2.8213
_cell_length_c 26.0421
_cell_angle_alpha 90.00
_cell_angle_beta 90.00
_cell_angle_gamma 120.00
_symmetry_space_group_name_H-M 'R 3 m'
_symmetry_Int_Tables_number 160
_symmetry_space_group_name_Hall 'R 3 -2"'
loop_
_atom_site_label
_atom_site_fract_x
_atom_site_fract_y
_atom_site_fract_z
Cu1 0.0000 0.0000 0.0000
Mo1 0.0000 0.0000 0.8336
Pt1 0.0000 0.0000 0.4160
Pt2 0.0000 0.0000 0.5841
```

Most stable structure: run Q

Run P
# RbCuMo2

A geometry-optimized RbCuMo2 structure (PBE, Alexandria).

Output
* D(E_F): 18.9 states/eV per cell
* magnetic moment: 0.0 μB per cell

Geometry as CIF:
```
data_RbCuMo2
_cell_length_a 4.666
_cell_length_b 4.666
_cell_length_c 19.545
_cell_angle_alpha 90.00
_cell_angle_beta 90.00
_cell_angle_gamma 90.00
_symmetry_space_group_name_H-M 'I -4 2 d'
_symmetry_Int_Tables_number 122
_symmetry_space_group_name_Hall 'I -4 2bw'
loop_
_atom_site_label
_atom_site_fract_x
_atom_site_fract_y
_atom_site_fract_z
Rb1 0.000 0.000 0.000
Cu1 0.000 0.000 0.500
Mo1 0.024 0.750 0.625
```

Run Q
# RbCuMo2

A geometry-optimized RbCuMo2 structure (PBE, Alexandria).

Output
* D(E_F): 16.3 states/eV per cell
* magnetic moment: 0.0 μB per cell

Geometry as CIF:
```
data_RbCuMo2
_cell_length_a 6.544
_cell_length_b 6.544
_cell_length_c 6.544
_cell_angle_alpha 90.00
_cell_angle_beta 90.00
_cell_angle_gamma 90.00
_symmetry_space_group_name_H-M 'F m -3 m'
_symmetry_Int_Tables_number 225
_symmetry_space_group_name_Hall '-F 4 2 3'
loop_
_atom_site_label
_atom_site_fract_x
_atom_site_fract_y
_atom_site_fract_z
Rb1 0.000 0.000 0.000
Cu1 0.000 0.000 0.500
Mo1 0.250 0.250 0.250
```

Most stable structure: run P

Run P
# RbCu2Mo

A geometry-optimized RbCu2Mo structure (PBE, Alexandria).

Output
* D(E_F): 11.4 states/eV per cell
* magnetic moment: 17.4 μB per cell

Geometry as CIF:
```
data_RbCu2Mo
_cell_length_a 5.111
_cell_length_b 5.111
_cell_length_c 17.949
_cell_angle_alpha 90.00
_cell_angle_beta 90.00
_cell_angle_gamma 90.00
_symmetry_space_group_name_H-M 'I 41/a m d'
_symmetry_Int_Tables_number 141
loop_
_symmetry_equiv_pos_as_xyz
'x,y,z'
'-x,-y,-z'
'-y+1/4,x+3/4,z+1/4'
'y+1/4,-x+3/4,-z+1/4'
'-x+1/2,-y,z+1/2'
'x+1/2,y,-z+1/2'
'y+1/4,-x+1/4,z+3/4'
'-y+1/4,x+1/4,-z+3/4'
'x,-y,-z'
'-x,y,z'
'-y+1/4,-x+1/4,-z+3/4'
'y+1/4,x+1/4,z+3/4'
'-x+1/2,y,-z+1/2'
'x+1/2,-y,z+1/2'
'y+1/4,x+3/4,-z+1/4'
'-y+1/4,-x+3/4,z+1/4'
'x+1/2,y+1/2,z+1/2'
'-x+1/2,-y+1/2,-z+1/2'
'-y+3/4,x+1/4,z+3/4'
'y+3/4,-x+1/4,-z+3/4'
'-x,-y+1/2,z'
'x,y+1/2,-z'
'y+3/4,-x+3/4,z+1/4'
'-y+3/4,x+3/4,-z+1/4'
'x+1/2,-y+1/2,-z+1/2'
'-x+1/2,y+1/2,z+1/2'
'-y+3/4,-x+3/4,-z+1/4'
'y+3/4,x+3/4,z+1/4'
'-x,y+1/2,-z'
'x,-y+1/2,z'
'y+3/4,x+1/4,-z+3/4'
'-y+3/4,-x+1/4,z+3/4'
loop_
_atom_site_label
_atom_site_fract_x
_atom_site_fract_y
_atom_site_fract_z
Rb1 0.000 0.250 0.375
Cu1 0.000 0.000 0.000
Mo1 0.000 0.250 0.875
```

Run Q
# RbCu2Mo

A geometry-optimized RbCu2Mo structure (PBE, Alexandria).

Output
* D(E_F): 7.0 states/eV per cell
* magnetic moment: 16.6 μB per cell

Geometry as CIF:
```
data_RbCu2Mo
_cell_length_a 7.015
_cell_length_b 7.015
_cell_length_c 7.015
_cell_angle_alpha 90.00
_cell_angle_beta 90.00
_cell_angle_gamma 90.00
_symmetry_space_group_name_H-M 'F m -3 m'
_symmetry_Int_Tables_number 225
_symmetry_space_group_name_Hall '-F 4 2 3'
loop_
_atom_site_label
_atom_site_fract_x
_atom_site_fract_y
_atom_site_fract_z
Rb1 0.000 0.000 0.000
Cu1 0.250 0.250 0.250
Mo1 0.000 0.000 0.500
```

Most stable structure: run P